# 1
# CePm2Si2 GGA-PBE relaxed
# uncorrected formation energy: -1.892 eV/f.u.
# ΔE to the lowest computed polymorph: 0.75 eV per formula unit
data_CePm2Si2
_cell_length_a 5.9753
_cell_length_b 17.2119
_cell_length_c 5.0991
_cell_angle_alpha 90.00
_cell_angle_beta 90.00
_cell_angle_gamma 90.00
_symmetry_space_group_name_H-M 'C m c m'
_symmetry_Int_Tables_number 63
_symmetry_space_group_name_Hall '-C 2c 2'
loop_
_atom_site_label
_atom_site_type_symbol
_atom_site_fract_x
_atom_site_fract_y
_atom_site_fract_z
Ce1 Ce 0.0000 0.0000 0.0000
Pm1 Pm 0.0000 0.2184 0.2500
Pm2 Pm 0.0000 0.4042 0.7500
Si1 Si 0.2079 0.1421 0.7500

***

# 2
# Ce2PmSi2 GGA-PBE relaxed
# uncorrected formation energy: -1.946 eV/f.u.
# ΔE to the lowest computed polymorph: 0.95 eV per formula unit
data_Ce2PmSi2
_cell_length_a 5.6115
_cell_length_b 4.2037
_cell_length_c 11.3972
_cell_angle_alpha 90.00
_cell_angle_beta 102.40
_cell_angle_gamma 90.00
_symmetry_space_group_name_H-M 'P 1 21/m 1'
_symmetry_Int_Tables_number 11
_symmetry_space_group_name_Hall '-P 2yb'
loop_
_atom_site_label
_atom_site_type_symbol
_atom_site_fract_x
_atom_site_fract_y
_atom_site_fract_z
Ce1 Ce 0.0676 0.2500 0.3705
Ce2 Ce 0.1814 0.2500 0.0167
Pm1 Pm 0.4715 0.2500 0.7240
Si1 Si 0.2871 0.7500 0.8643
Si2 Si 0.3811 0.7500 0.5210

***

# 3
# Ce2PmSi2 GGA-PBE relaxed
# uncorrected formation energy: -2.893 eV/f.u.
# ΔE to the lowest computed polymorph: 0.00 eV per formula unit
data_Ce2PmSi2
_cell_length_a 7.6652
_cell_length_b 7.6652
_cell_length_c 4.2415
_cell_angle_alpha 90.00
_cell_angle_beta 90.00
_cell_angle_gamma 90.00
_symmetry_space_group_name_H-M 'P 4/m b m'
_symmetry_Int_Tables_number 127
_symmetry_space_group_name_Hall '-P 4 2ab'
loop_
_atom_site_label
_atom_site_type_symbol
_atom_site_fract_x
_atom_site_fract_y
_atom_site_fract_z
Ce1 Ce 0.1785 0.3215 0.0000
Pm1 Pm 0.0000 0.0000 0.5000
Si1 Si 0.1129 0.6129 0.5000

***

# 4
# CePm12Si6 GGA-PBE relaxed
# uncorrected formation energy: -5.746 eV/f.u.
data_CePm12Si6
_cell_length_a 13.5172
_cell_length_b 13.5172
_cell_length_c 10.9398
_cell_angle_alpha 90.00
_cell_angle_beta 90.00
_cell_angle_gamma 120.00
_symmetry_space_group_name_H-M 'R -3 m'
_symmetry_Int_Tables_number 166
_symmetry_space_group_name_Hall '-R 3 2"'
loop_
_atom_site_label
_atom_site_type_symbol
_atom_site_fract_x
_atom_site_fract_y
_atom_site_fract_z
Ce1 Ce 0.0000 0.0000 0.0000
Pm1 Pm 0.0000 0.3775 0.5000
Pm2 Pm 0.0892 0.1783 0.3563
Si1 Si 0.0339 0.5170 0.2684

***

# 5
# Ce3Pm2Si4 GGA-PBE relaxed
# uncorrected formation energy: -5.735 eV/f.u.
# ΔE to the lowest computed polymorph: 0.00 eV per formula unit
data_Ce3Pm2Si4
_cell_length_a 7.7538
_cell_length_b 7.7816
_cell_length_c 7.6876
_cell_angle_alpha 90.00
_cell_angle_beta 106.23
_cell_angle_gamma 90.00
_symmetry_space_group_name_H-M 'P 1 21/c 1'
_symmetry_Int_Tables_number 14
_symmetry_space_group_name_Hall '-P 2ybc'
loop_
_atom_site_label
_atom_site_type_symbol
_atom_site_fract_x
_atom_site_fract_y
_atom_site_fract_z
Ce1 Ce 0.0000 0.0000 0.0000
Ce2 Ce 0.2552 0.1869 0.7487
Pm1 Pm 0.2964 0.6825 0.9092
Si1 Si 0.0084 0.6145 0.1179
Si2 Si 0.4191 0.0249 0.1150

***

# 6
# CePmSiSn GGA-PBE relaxed
# uncorrected formation energy: -1.688 eV/f.u.
data_CePmSiSn
_cell_length_a 7.4808
_cell_length_b 7.4808
_cell_length_c 7.4808
_cell_angle_alpha 90.00
_cell_angle_beta 90.00
_cell_angle_gamma 90.00
_symmetry_space_group_name_H-M 'F -4 3 m'
_symmetry_Int_Tables_number 216
_symmetry_space_group_name_Hall 'F -4 2 3'
loop_
_atom_site_label
_atom_site_type_symbol
_atom_site_fract_x
_atom_site_fract_y
_atom_site_fract_z
Ce1 Ce 0.0000 0.0000 0.0000
Pm1 Pm 0.0000 0.0000 0.5000
Si1 Si 0.2500 0.2500 0.7500
Sn1 Sn 0.2500 0.2500 0.2500

***

# 7
# CePmZnSi GGA-PBE relaxed
# uncorrected formation energy: -1.564 eV/f.u.
data_CePmZnSi
_cell_length_a 7.2156
_cell_length_b 7.2156
_cell_length_c 7.2156
_cell_angle_alpha 90.00
_cell_angle_beta 90.00
_cell_angle_gamma 90.00
_symmetry_space_group_name_H-M 'F -4 3 m'
_symmetry_Int_Tables_number 216
_symmetry_space_group_name_Hall 'F -4 2 3'
loop_
_atom_site_label
_atom_site_type_symbol
_atom_site_fract_x
_atom_site_fract_y
_atom_site_fract_z
Ce1 Ce 0.0000 0.0000 0.0000
Pm1 Pm 0.0000 0.0000 0.5000
Zn1 Zn 0.2500 0.2500 0.7500
Si1 Si 0.2500 0.2500 0.2500

***

# 8
# Ce2PmZn2Si2 GGA-PBE relaxed
# uncorrected formation energy: -2.970 eV/f.u.
data_Ce2PmZn2Si2
_cell_length_a 4.2435
_cell_length_b 4.2435
_cell_length_c 27.9390
_cell_angle_alpha 90.00
_cell_angle_beta 90.00
_cell_angle_gamma 120.00
_symmetry_space_group_name_H-M 'R -3 m'
_symmetry_Int_Tables_number 166
_symmetry_space_group_name_Hall '-R 3 2"'
loop_
_atom_site_label
_atom_site_type_symbol
_atom_site_fract_x
_atom_site_fract_y
_atom_site_fract_z
Ce1 Ce 0.0000 0.0000 0.1414
Pm1 Pm 0.0000 0.0000 0.0000
Zn1 Zn 0.0000 0.0000 0.4047
Si1 Si 0.0000 0.0000 0.2616

***

# 9
# CePm4Sm10 GGA-PBE relaxed
# formation energy: 0.24 eV per atom
data_CePm4Sm10
_cell_length_a 11.3601
_cell_length_b 11.3601
_cell_length_c 8.0697
_cell_angle_alpha 90.00
_cell_angle_beta 90.00
_cell_angle_gamma 90.00
_symmetry_space_group_name_H-M 'I 4/m m m'
_symmetry_Int_Tables_number 139
_symmetry_space_group_name_Hall '-I 4 2'
loop_
_atom_site_label
_atom_site_type_symbol
_atom_site_fract_x
_atom_site_fract_y
_atom_site_fract_z
Ce1 Ce 0.0000 0.0000 0.0000
Pm1 Pm 0.2264 0.2264 0.0000
Sm1 Sm 0.0000 0.2089 0.2921
Sm2 Sm 0.0000 0.5000 0.2500

***

# 10
# CePm8Sm3 GGA-PBE relaxed
# formation energy: 0.54 eV per atom
data_CePm8Sm3
_cell_length_a 8.7586
_cell_length_b 8.7586
_cell_length_c 11.4903
_cell_angle_alpha 90.00
_cell_angle_beta 90.00
_cell_angle_gamma 90.00
_symmetry_space_group_name_H-M 'I -4 2 m'
_symmetry_Int_Tables_number 121
_symmetry_space_group_name_Hall 'I -4 2'
loop_
_atom_site_label
_atom_site_type_symbol
_atom_site_fract_x
_atom_site_fract_y
_atom_site_fract_z
Ce1 Ce 0.0000 0.0000 0.0000
Pm1 Pm 0.1219 0.1219 0.2410
Pm2 Pm 0.2374 0.2374 0.9805
Sm1 Sm 0.0000 0.0000 0.5000
Sm2 Sm 0.0000 0.5000 0.2500

***

# 11
# CePmSm GGA-PBE relaxed
# formation energy: 0.12 eV per atom
# ΔE to the lowest computed polymorph: 0.15 eV per formula unit
data_CePmSm
_cell_length_a 5.6708
_cell_length_b 5.6708
_cell_length_c 3.4992
_cell_angle_alpha 90.00
_cell_angle_beta 90.00
_cell_angle_gamma 120.00
_symmetry_space_group_name_H-M 'P -6 m 2'
_symmetry_Int_Tables_number 187
_symmetry_space_group_name_Hall 'P -6 2'
loop_
_atom_site_label
_atom_site_type_symbol
_atom_site_fract_x
_atom_site_fract_y
_atom_site_fract_z
Ce1 Ce 0.0000 0.0000 0.0000
Pm1 Pm 0.6667 0.3333 0.0000
Sm1 Sm 0.3333 0.6667 0.5000

***

# 12
# CePmSm2 GGA-PBE relaxed
# formation energy: 0.06 eV per atom
# ΔE to the lowest computed polymorph: 0.00 eV per formula unit
data_CePmSm2
_cell_length_a 3.5754
_cell_length_b 3.5754
_cell_length_c 10.2475
_cell_angle_alpha 90.00
_cell_angle_beta 90.00
_cell_angle_gamma 90.00
_symmetry_space_group_name_H-M 'P 4/m m m'
_symmetry_Int_Tables_number 123
_symmetry_space_group_name_Hall '-P 4 2'
loop_
_atom_site_label
_atom_site_type_symbol
_atom_site_fract_x
_atom_site_fract_y
_atom_site_fract_z
Ce1 Ce 0.0000 0.0000 0.0000
Pm1 Pm 0.0000 0.0000 0.5000
Sm1 Sm 0.5000 0.5000 0.2397

***

| no. | VASP energy (eV/atom) | spin magnetization (μB/f.u.) |
| --- | --- | --- |
| 1 | -5.635 | 0.19 |
| 2 | -5.882 | 1.91 |
| 3 | -6.071 | 1.58 |
| 4 | -5.328 | 2.28 |
| 5 | -6.081 | 2.40 |
| 6 | -5.450 | 1.55 |
| 7 | -4.736 | 0.84 |
| 8 | -4.712 | 1.82 |
| 9 | -4.569 | 0.00 |
| 10 | -4.301 | 0.05 |
| 11 | -5.012 | 1.04 |
| 12 | -4.968 | 0.61 |